# TmZrRu2 (PBE, relaxed)
data_TmZrRu2
_chemical_formula_sum 'Tm1 Zr1 Ru2'
_cell_length_a 3.306
_cell_length_b 3.306
_cell_length_c 6.667
_cell_angle_alpha 90.00
_cell_angle_beta 90.00
_cell_angle_gamma 90.00
_symmetry_space_group_name_H-M 'P 4/m m m'
_symmetry_Int_Tables_number 123
_symmetry_space_group_name_Hall '-P 4 2'
loop_
_atom_site_label
_atom_site_fract_x
_atom_site_fract_y
_atom_site_fract_z
Tm1 0.000 0.000 0.000
Zr1 0.000 0.000 0.500
Ru1 0.500 0.500 0.263
# DFT formation energy = -0.58 eV/atom
# raw total energy = -8.473 eV per atom
# DOS(E_F) = 0.5599 states/eV/atom